This record from OQMD describes a relaxed DyZr3C2Se2 crystal. The functional is PBE-GGA.

Cell: 3.5300 3.5300 12.8893 Å, 90.00 90.00 120.00°
Space group P3m1 (No. 156)
Inequivalent atoms, fractional coordinates:
Dy (0.0000, 0.0000, 0.0000) (multiplicity 1)
Zr (0.0000, 0.0000, 0.6898) (multiplicity 1)
Zr (0.6667, 0.3333, 0.2005) (multiplicity 1)
Zr (0.6667, 0.3333, 0.5028) (multiplicity 1)
C (0.3333, 0.6667, 0.1106) (multiplicity 1)
C (0.3333, 0.6667, 0.5962) (multiplicity 1)
Se (0.0000, 0.0000, 0.3522) (multiplicity 1)
Se (0.6667, 0.3333, 0.8370) (multiplicity 1)

**Final energy**: -0.2986 Ha/atom
**Crystal system**: trigonal
**M_tot**: 0.001 μB per atom


This record from OQMD describes a relaxed DyTmSi2W2C crystal. The functional is PBE-GGA.

Cell: 11.074 3.817 7.086 Å, 90.00 125.28 90.00°
Space group Cm (No. 8)
Inequivalent atoms, fractional coordinates:
Dy (0.000, 0.000, 0.000) (multiplicity 2)
Tm (0.149, 0.000, 0.591) (multiplicity 2)
Si (0.206, 0.500, 0.955) (multiplicity 2)
Si (0.444, 0.000, 0.636) (multiplicity 2)
W (0.283, 0.500, 0.382) (multiplicity 2)
W (0.368, 0.000, 0.212) (multiplicity 2)
C (0.076, 0.500, 0.299) (multiplicity 2)

**Final energy**: -0.3090 Ha/atom
**Crystal system**: monoclinic
**M_tot**: 0.000 μB per atom


This record from OQMD describes a relaxed TbDy3Sn2C2 crystal. The functional is PBE-GGA.

Cell: 3.6247 3.6247 15.9266 Å, 90.00 90.00 120.00°
Space group P3m1 (No. 156)
Inequivalent atoms, fractional coordinates:
Tb (0.0000, 0.0000, 0.0000) (multiplicity 1)
Dy (0.0000, 0.0000, 0.3310) (multiplicity 1)
Dy (0.3333, 0.6667, 0.4996) (multiplicity 1)
Dy (0.3333, 0.6667, 0.8306) (multiplicity 1)
Sn (0.0000, 0.0000, 0.6652) (multiplicity 1)
Sn (0.3333, 0.6667, 0.1659) (multiplicity 1)
C (0.6667, 0.3333, 0.4154) (multiplicity 1)
C (0.6667, 0.3333, 0.9148) (multiplicity 1)

**Final energy**: -0.2257 Ha/atom
**Crystal system**: trigonal
**M_tot**: 0.003 μB per atom


This record from OQMD describes a relaxed TbDySnC crystal. The functional is PBE-GGA.

Cell: 3.6298 3.6298 15.9571 Å, 90.00 90.00 120.00°
Space group P-3m1 (No. 164)
Inequivalent atoms, fractional coordinates:
Tb (0.3333, 0.6667, 0.0849) (multiplicity 2)
Dy (0.3333, 0.6667, 0.4159) (multiplicity 2)
Sn (0.3333, 0.6667, 0.7493) (multiplicity 2)
C (0.0000, 0.0000, 0.0000) (multiplicity 1)
C (0.0000, 0.0000, 0.5000) (multiplicity 1)

**Final energy**: -0.2256 Ha/atom
**Crystal system**: trigonal
**M_tot**: 0.003 μB per atom


This record from OQMD describes a relaxed TbDySnC crystal. The functional is PBE-GGA.

Cell: 3.6299 3.6299 15.9562 Å, 90.00 90.00 120.00°
Space group P-6m2 (No. 187)
Inequivalent atoms, fractional coordinates:
Tb (0.0000, 0.0000, 0.1655) (multiplicity 2)
Dy (0.3333, 0.6667, 0.3346) (multiplicity 2)
Sn (0.0000, 0.0000, 0.5000) (multiplicity 1)
Sn (0.3333, 0.6667, 0.0000) (multiplicity 1)
C (0.6667, 0.3333, 0.2506) (multiplicity 2)

**Final energy**: -0.2256 Ha/atom
**Crystal system**: hexagonal
**M_tot**: 0.003 μB per atom


This record from OQMD describes a relaxed Tb3DySn2C2 crystal. The functional is PBE-GGA.

Cell: 3.6344 3.6344 15.9796 Å, 90.00 90.00 120.00°
Space group P3m1 (No. 156)
Inequivalent atoms, fractional coordinates:
Tb (0.0000, 0.0000, 0.0000) (multiplicity 1)
Tb (0.0000, 0.0000, 0.3308) (multiplicity 1)
Tb (0.3333, 0.6667, 0.5004) (multiplicity 1)
Dy (0.3333, 0.6667, 0.8312) (multiplicity 1)
Sn (0.0000, 0.0000, 0.6662) (multiplicity 1)
Sn (0.3333, 0.6667, 0.1655) (multiplicity 1)
C (0.6667, 0.3333, 0.4157) (multiplicity 1)
C (0.6667, 0.3333, 0.9150) (multiplicity 1)

**Final energy**: -0.2255 Ha/atom
**Crystal system**: trigonal
**M_tot**: 0.003 μB per atom